1.
In4Hg5 after structural relaxation. Source: the Alexandria database, functional PBEsol.

The space group is I4/mmm (No. 139) and the conventional cell measures 10.1227, 10.1227 and 4.2066 Å, with angles of 90.00, 90.00 and 90.00 degrees. The asymmetric unit holds In at (0.0000, 0.3253, 0.0000), Hg at (0.0000, 0.0000, 0.0000) and Hg at (0.1661, 0.1661, 0.5000).

Its formation energy is -0.01 eV/atom. The energy above the most stable polymorph in this dataset is 3 meV per atom.

---

2.
In5Hg after structural relaxation. Source: the Alexandria database, functional PBEsol.

The space group is Cmmm (No. 65) and the conventional cell measures 4.4678, 14.7480 and 4.4989 Å, with angles of 90.00, 90.00 and 90.00 degrees. The asymmetric unit holds In at (0.0000, 0.0000, 0.0000), In at (0.0000, 0.1653, 0.5000), In at (0.0000, 0.3354, 0.0000) and Hg at (0.0000, 0.5000, 0.5000).

Its formation energy is 0.00 eV/atom. The energy above the most stable polymorph in this dataset is 3 meV per atom.

---

3.
InHg after structural relaxation. Source: the Alexandria database, functional PBEsol.

The space group is Cmcm (No. 63) and the conventional cell measures 3.2048, 11.1858 and 5.4279 Å, with angles of 90.00, 90.00 and 90.00 degrees. The asymmetric unit holds In at (0.0000, 0.1241, 0.2500) and Hg at (0.0000, 0.3846, 0.2500).

Its formation energy is -0.02 eV/atom.

---

4.
In4Hg5 after structural relaxation. Source: the Alexandria database, functional PBEsol.

The space group is P6_3/mcm (No. 193) and the conventional cell measures 9.0540, 9.0540 and 6.1627 Å, with angles of 90.00, 90.00 and 120.00 degrees. The asymmetric unit holds In at (0.0000, 0.0000, 0.0000), In at (0.0000, 0.3705, 0.2500), Hg at (0.0000, 0.2982, 0.7500) and Hg at (0.3333, 0.6667, 0.0000).

Its formation energy is -0.01 eV/atom. The energy above the most stable polymorph in this dataset is 0 meV per atom.

---

Repeat the second record exactly.
In5Hg after structural relaxation. Source: the Alexandria database, functional PBEsol.

The space group is Cmmm (No. 65) and the conventional cell measures 4.4678, 14.7480 and 4.4989 Å, with angles of 90.00, 90.00 and 90.00 degrees. The asymmetric unit holds In at (0.0000, 0.0000, 0.0000), In at (0.0000, 0.1653, 0.5000), In at (0.0000, 0.3354, 0.0000) and Hg at (0.0000, 0.5000, 0.5000).

Its formation energy is 0.00 eV/atom. The energy above the most stable polymorph in this dataset is 3 meV per atom.

---

Repeat the first record exactly.
In4Hg5 after structural relaxation. Source: the Alexandria database, functional PBEsol.

The space group is I4/mmm (No. 139) and the conventional cell measures 10.1227, 10.1227 and 4.2066 Å, with angles of 90.00, 90.00 and 90.00 degrees. The asymmetric unit holds In at (0.0000, 0.3253, 0.0000), Hg at (0.0000, 0.0000, 0.0000) and Hg at (0.1661, 0.1661, 0.5000).

Its formation energy is -0.01 eV/atom. The energy above the most stable polymorph in this dataset is 3 meV per atom.